First-principles (PBE) data for Ba2BeNbO6 after structural relaxation, as listed in Alexandria via LeMat-Bulk.

Uncorrected formation energy: -2.372 eV/atom
D(E_F): 8.55 states/eV per cell
Raw total energy: -7.111 eV/atom

abc: 5.8746 5.8746 4.8882
angles: 90.00 90.00 120.00
Space group P-3m1 (No. 164)
One atom of each set of equivalent atoms:
Ba: 0.3333 0.6667 0.2992
Be: 0.0000 0.0000 0.5000
Nb: 0.0000 0.0000 0.0000
O: 0.1503 0.3006 0.7338

First-principles (PBE) data for BaBeNbO4 after structural relaxation, as listed in Alexandria via LeMat-Bulk.

Uncorrected formation energy: -2.268 eV/atom
D(E_F): 10.38 states/eV per cell
Raw total energy: -7.347 eV/atom

abc: 8.137 8.137 8.137
angles: 90.00 90.00 90.00
Space group F-43m (No. 216)
One atom of each set of equivalent atoms:
Ba: 0.000 0.000 0.000
Be: 0.000 0.000 0.500
Nb: 0.250 0.250 0.750
O: 0.117 0.117 0.617

First-principles (PBE) data for BaBeNbO5 after structural relaxation, as listed in Alexandria via LeMat-Bulk.

Uncorrected formation energy: -2.389 eV/atom
D(E_F): 20.51 states/eV per cell
Raw total energy: -7.453 eV/atom

abc: 6.916 9.285 7.596
angles: 90.00 114.25 90.00
Space group C2/c (No. 15)
One atom of each set of equivalent atoms:
Ba: 0.000 0.165 0.250
Be: 0.000 0.192 0.750
Nb: 0.000 0.500 0.000
O: 0.000 0.442 0.250
O: 0.076 0.297 0.608
O: 0.198 0.079 0.890